Computed, not measured: a crystal of YHfSe2N relaxed with PBEsol at the SCAN level of DFT.

Energy, eV per atom: -27.96
Magnetization, Bohr magnetons per cell: 0.52
E_form (uncorrected), eV per atom: 0.04

Cell and atoms, written as POSCAR:
```
YHfSe2N
1.0
-1.789 -1.757 -3.102
4.703 -1.621 -1.793
-0.471 -4.462 2.798
Hf N Se Y
1 1 2 1
direct
0.500 0.500 0.500 Hf
0.500 0.000 0.000 N
0.000 0.000 0.500 Se
0.000 0.500 0.000 Se
0.000 0.000 0.000 Y
```



Computed, not measured: a crystal of LaYSc2 relaxed with PBEsol at the SCAN level of DFT.

ΔH_f (0 K), eV per atom: 0.0875
Energy, eV per atom: -24.77
Magnetization, Bohr magnetons per cell: 0.97

Cell and atoms, written as POSCAR:
```
LaYSc2
1.0
-3.350 0.393 -0.495
-2.199 -2.206 1.386
-2.445 5.645 9.299
La Sc Y
1 2 1
direct
0.253 0.253 0.240 La
0.747 0.747 0.759 Sc
0.004 0.004 0.988 Sc
0.496 0.496 0.513 Y
```



Computed, not measured: a crystal of Gd4B4O11F2 relaxed with PBEsol at the SCAN level of DFT.

Energy, eV per atom: -19.61
Magnetization, Bohr magnetons per cell: 55.91
E_form (uncorrected), eV per atom: -3.39

Cell and atoms, written as POSCAR:
```
Gd4B4O11F2
1.0
-0.974 3.604 -2.728
-6.086 -2.561 2.707
1.504 8.466 10.648
B Gd O F
8 8 22 4
direct
0.049 0.191 0.024 B
0.883 0.814 0.787 B
0.858 0.809 0.476 B
0.931 0.814 0.287 B
0.069 0.186 0.713 B
0.951 0.809 0.976 B
0.117 0.186 0.213 B
0.142 0.191 0.524 B
0.703 0.440 0.130 Gd
0.539 0.119 0.370 Gd
0.421 0.881 0.130 Gd
0.297 0.560 0.870 Gd
0.737 0.440 0.630 Gd
0.579 0.119 0.870 Gd
0.461 0.881 0.630 Gd
0.263 0.560 0.370 Gd
0.989 0.350 0.757 O
0.380 0.198 0.724 O
0.845 0.000 0.750 O
0.258 0.841 0.965 O
0.827 0.772 0.067 O
0.639 0.650 0.743 O
0.954 0.175 0.606 O
0.183 0.802 0.776 O
0.779 0.825 0.894 O
0.173 0.228 0.933 O
0.155 0.000 0.250 O
0.817 0.198 0.224 O
0.417 0.159 0.535 O
0.221 0.175 0.106 O
0.055 0.228 0.433 O
0.620 0.802 0.276 O
0.945 0.772 0.567 O
0.361 0.350 0.257 O
0.583 0.841 0.465 O
0.046 0.825 0.394 O
0.742 0.159 0.035 O
0.011 0.650 0.243 O
0.245 0.538 0.076 F
0.707 0.462 0.424 F
0.755 0.462 0.924 F
0.293 0.538 0.576 F
```



Computed, not measured: a crystal of Ba2CoTe relaxed with PBEsol at the SCAN level of DFT.

Energy, eV per atom: -33.39
Magnetization, Bohr magnetons per cell: 1.11
E_form (uncorrected), eV per atom: 0.03

Cell and atoms, written as POSCAR:
```
Ba2CoTe
1.0
-4.429 2.426 2.120
-2.397 -2.090 4.459
0.350 2.637 4.788
Te Ba Co
1 2 1
direct
0.250 0.250 0.250 Te
0.750 0.750 0.750 Ba
0.000 0.000 0.000 Ba
0.500 0.500 0.500 Co
```



Computed, not measured: a crystal of SrLi2Pd2 relaxed with PBEsol at the SCAN level of DFT.

ΔH_f (0 K), eV per atom: -0.3792
Energy, eV per atom: -18.90
Magnetization, Bohr magnetons per cell: 0.00

Cell and atoms, written as POSCAR:
```
SrLi2Pd2
1.0
3.068 0.000 0.000
0.000 7.540 0.000
0.000 0.000 7.540
Pd Sr Li
4 2 4
direct
0.500 0.175 0.675 Pd
0.500 0.825 0.325 Pd
0.500 0.325 0.175 Pd
0.500 0.675 0.825 Pd
0.000 0.500 0.500 Sr
0.000 0.000 0.000 Sr
0.000 0.884 0.616 Li
0.000 0.384 0.884 Li
0.000 0.116 0.384 Li
0.000 0.616 0.116 Li
```



Computed, not measured: a crystal of CaCoP relaxed with PBEsol at the SCAN level of DFT.

ΔH_f (0 K), eV per atom: -0.7530
Energy, eV per atom: -13.21
Magnetization, Bohr magnetons per cell: 0.02

Cell and atoms, written as POSCAR:
```
CaCoP
1.0
-1.566 -1.234 -3.335
-1.080 -4.844 2.300
-3.425 3.593 2.543
Co P Ca
2 2 2
direct
0.204 0.363 0.408 Co
0.796 0.637 0.592 Co
0.378 0.704 0.757 P
0.622 0.296 0.243 P
0.891 0.193 0.783 Ca
0.109 0.807 0.217 Ca
```



Computed, not measured: a crystal of RbInMo3 relaxed with PBEsol at the SCAN level of DFT.

ΔH_f (0 K), eV per atom: 3.2430
Energy, eV per atom: -28.51
Magnetization, Bohr magnetons per cell: 0.00

Cell and atoms, written as POSCAR:
```
RbInMo3
1.0
4.642 0.000 0.000
0.000 4.642 0.000
0.000 0.000 4.642
Mo Rb In
3 1 1
direct
0.000 0.500 0.000 Mo
0.000 0.000 0.500 Mo
0.500 0.000 0.000 Mo
0.000 0.000 0.000 Rb
0.500 0.500 0.500 In
```



Computed, not measured: a crystal of ZrCo3Ag relaxed with PBEsol at the SCAN level of DFT.

ΔH_f (0 K), eV per atom: 1.3025
Energy, eV per atom: -21.49
Magnetization, Bohr magnetons per cell: 5.92

Cell and atoms, written as POSCAR:
```
ZrCo3Ag
1.0
4.465 0.000 0.000
0.000 4.465 0.000
0.000 0.000 4.465
Zr Co Ag
1 3 1
direct
0.500 0.500 0.500 Zr
0.000 0.000 0.500 Co
0.500 0.000 0.000 Co
0.000 0.500 0.000 Co
0.000 0.000 0.000 Ag
```



Computed, not measured: a crystal of Cu3SbS3 relaxed with PBEsol at the SCAN level of DFT.

Energy, eV per atom: -16.18
Magnetization, Bohr magnetons per cell: 0.00
E_form (uncorrected), eV per atom: -0.22

Cell and atoms, written as POSCAR:
```
Cu3SbS3
1.0
8.573 0.000 0.000
-2.858 8.083 0.000
-2.858 -4.041 7.000
Cu S Sb
12 12 4
direct
0.500 0.250 0.750 Cu
0.818 0.000 0.818 Cu
0.250 0.500 0.750 Cu
0.182 0.000 0.182 Cu
0.750 0.250 0.500 Cu
0.500 0.750 0.250 Cu
0.250 0.750 0.500 Cu
0.000 0.182 0.182 Cu
0.000 0.818 0.818 Cu
0.818 0.818 0.000 Cu
0.182 0.182 0.000 Cu
0.750 0.500 0.250 Cu
0.754 0.533 0.000 S
0.246 0.779 0.246 S
0.467 0.467 0.221 S
0.246 0.246 0.779 S
0.467 0.221 0.467 S
0.533 0.754 0.000 S
0.221 0.467 0.467 S
0.000 0.754 0.533 S
0.533 0.000 0.754 S
0.754 0.000 0.533 S
0.000 0.533 0.754 S
0.779 0.246 0.246 S
0.000 0.447 0.000 Sb
0.553 0.553 0.553 Sb
0.447 0.000 0.000 Sb
0.000 0.000 0.447 Sb
```



Computed, not measured: a crystal of SiP2O7 relaxed with PBEsol at the SCAN level of DFT.

Energy, eV per atom: -9.98
Magnetization, Bohr magnetons per cell: 0.00
E_form (uncorrected), eV per atom: -2.54

Cell and atoms, written as POSCAR:
```
SiP2O7
1.0
-7.071 2.928 -0.738
-2.314 -4.048 6.114
1.940 5.845 4.604
O Si P
28 4 8
direct
0.806 0.602 0.561 O
0.061 0.694 0.398 O
0.939 0.306 0.602 O
0.306 0.602 0.939 O
0.561 0.806 0.602 O
0.602 0.561 0.806 O
0.061 0.806 0.898 O
0.694 0.398 0.061 O
0.398 0.439 0.194 O
0.500 0.500 0.500 O
0.000 0.500 0.000 O
0.102 0.561 0.694 O
0.898 0.439 0.306 O
0.602 0.939 0.306 O
0.939 0.194 0.102 O
0.102 0.939 0.194 O
0.194 0.102 0.939 O
0.806 0.898 0.061 O
0.561 0.694 0.102 O
0.694 0.102 0.561 O
0.439 0.194 0.398 O
0.898 0.061 0.806 O
0.194 0.398 0.439 O
0.000 0.000 0.500 O
0.439 0.306 0.898 O
0.398 0.061 0.694 O
0.500 0.000 0.000 O
0.306 0.898 0.439 O
0.500 0.500 0.000 Si
0.000 0.500 0.500 Si
0.500 0.000 0.500 Si
0.000 0.000 0.000 Si
0.619 0.881 0.119 P
0.381 0.119 0.881 P
0.881 0.119 0.619 P
0.881 0.381 0.119 P
0.619 0.619 0.619 P
0.119 0.881 0.381 P
0.119 0.619 0.881 P
0.381 0.381 0.381 P
```



Computed, not measured: a crystal of BaAg3Ge relaxed with PBEsol at the SCAN level of DFT.

ΔH_f (0 K), eV per atom: -0.1239
Energy, eV per atom: -30.67
Magnetization, Bohr magnetons per cell: 0.00

Cell and atoms, written as POSCAR:
```
BaAg3Ge
1.0
4.982 0.000 0.000
0.000 4.982 0.000
0.000 0.000 4.982
Ag Ba Ge
3 1 1
direct
0.000 0.500 0.000 Ag
0.500 0.000 0.000 Ag
0.000 0.000 0.500 Ag
0.500 0.500 0.500 Ba
0.000 0.000 0.000 Ge
```



Theoretical density, respectively: 6.54 4.78 6.89 6.59 5.98 4.04 8.10 7.01 5.60 2.95 7.17 g/cm3.